# GGA-PBE Ca2Pm3NdSe6, optimized geometry
data_Ca2Pm3NdSe6
_chemical_formula_sum 'Ca2 Pm3 Nd1 Se6'
_cell_length_a 7.257
_cell_length_b 7.257
_cell_length_c 7.324
_cell_angle_alpha 99.53
_cell_angle_beta 99.53
_cell_angle_gamma 120.11
_symmetry_space_group_name_H-M 'P 1'
_symmetry_Int_Tables_number 1
loop_
_symmetry_equiv_pos_as_xyz
'x,y,z'
loop_
_atom_site_label
_atom_site_fract_x
_atom_site_fract_y
_atom_site_fract_z
Se1 0.082 0.421 0.246
Se2 0.421 0.082 0.246
Se3 0.744 0.744 0.248
Se4 0.579 0.918 0.754
Se5 0.256 0.256 0.752
Se6 0.918 0.579 0.754
Nd1 0.000 0.000 0.000
Pm1 0.833 0.167 0.500
Pm2 0.167 0.833 0.500
Pm3 0.500 0.500 0.500
Ca1 0.667 0.333 0.000
Ca2 0.333 0.667 0.000
# * E: -5.54 eV per atom
# * SG: C2/m, No. 12
# * raw formation energy: -1.880 eV/atom

# GGA-PBE Ca3PmNd3Se8, optimized geometry
data_Ca3PmNd3Se8
_chemical_formula_sum 'Ca3 Pm1 Nd3 Se8'
_cell_length_a 8.411
_cell_length_b 8.410
_cell_length_c 8.450
_cell_angle_alpha 119.85
_cell_angle_beta 90.00
_cell_angle_gamma 120.00
_symmetry_space_group_name_H-M 'P 1'
_symmetry_Int_Tables_number 1
loop_
_symmetry_equiv_pos_as_xyz
'x,y,z'
loop_
_atom_site_label
_atom_site_fract_x
_atom_site_fract_y
_atom_site_fract_z
Se1 0.248 0.001 0.749
Se2 0.752 0.999 0.251
Se3 0.752 0.504 0.755
Se4 0.753 0.001 0.749
Se5 0.247 0.999 0.251
Se6 0.248 0.496 0.245
Se7 0.751 0.503 0.251
Se8 0.249 0.497 0.749
Nd1 0.000 0.500 0.500
Nd2 0.500 0.000 0.500
Nd3 0.500 0.500 0.500
Ca1 0.500 0.500 0.000
Ca2 0.000 0.500 0.000
Ca3 0.000 0.000 0.000
Pm1 0.000 0.000 0.500
# * E: -5.45 eV per atom
# * SG: R-3m, No. 166
# * raw formation energy: -1.920 eV/atom

# GGA-PBE Ca4Pm3NdSe8, optimized geometry
data_Ca4Pm3NdSe8
_chemical_formula_sum 'Ca4 Pm3 Nd1 Se8'
_cell_length_a 8.335
_cell_length_b 8.471
_cell_length_c 8.335
_cell_angle_alpha 119.47
_cell_angle_beta 120.00
_cell_angle_gamma 90.00
_symmetry_space_group_name_H-M 'P 1'
_symmetry_Int_Tables_number 1
loop_
_symmetry_equiv_pos_as_xyz
'x,y,z'
loop_
_atom_site_label
_atom_site_fract_x
_atom_site_fract_y
_atom_site_fract_z
Se1 0.750 0.755 0.003
Se2 0.748 0.245 0.997
Se3 0.252 0.755 0.003
Se4 0.751 0.754 0.503
Se5 0.748 0.245 0.495
Se6 0.252 0.755 0.505
Se7 0.250 0.245 0.997
Se8 0.249 0.246 0.497
Pm1 0.500 0.500 0.000
Pm2 0.500 0.500 0.500
Pm3 0.000 0.500 0.500
Nd1 0.000 0.500 0.000
Ca1 0.000 0.000 0.500
Ca2 0.500 0.000 0.500
Ca3 0.500 0.000 0.000
Ca4 0.000 0.000 0.000
# * E: -5.34 eV per atom
# * SG: R-3m, No. 166
# * raw formation energy: -1.907 eV/atom

# GGA-PBE Ca2PmNd3Se6, optimized geometry
data_Ca2PmNd3Se6
_chemical_formula_sum 'Ca2 Pm1 Nd3 Se6'
_cell_length_a 7.268
_cell_length_b 7.268
_cell_length_c 7.357
_cell_angle_alpha 99.49
_cell_angle_beta 99.49
_cell_angle_gamma 120.10
_symmetry_space_group_name_H-M 'P 1'
_symmetry_Int_Tables_number 1
loop_
_symmetry_equiv_pos_as_xyz
'x,y,z'
loop_
_atom_site_label
_atom_site_fract_x
_atom_site_fract_y
_atom_site_fract_z
Nd1 0.168 0.832 0.500
Nd2 0.832 0.168 0.500
Nd3 0.500 0.500 0.500
Ca1 0.667 0.333 0.000
Ca2 0.333 0.667 0.000
Se1 0.745 0.745 0.245
Se2 0.081 0.417 0.242
Se3 0.417 0.081 0.242
Se4 0.583 0.919 0.758
Se5 0.255 0.255 0.755
Se6 0.919 0.583 0.758
Pm1 0.000 0.000 0.000
# * E: -5.54 eV per atom
# * SG: C2/m, No. 12
# * raw formation energy: -1.881 eV/atom

# GGA-PBE Ca3Pm4NdSe8, optimized geometry
data_Ca3Pm4NdSe8
_chemical_formula_sum 'Ca3 Pm4 Nd1 Se8'
_cell_length_a 8.372
_cell_length_b 8.430
_cell_length_c 8.373
_cell_angle_alpha 119.77
_cell_angle_beta 120.00
_cell_angle_gamma 90.00
_symmetry_space_group_name_H-M 'P 1'
_symmetry_Int_Tables_number 1
loop_
_symmetry_equiv_pos_as_xyz
'x,y,z'
loop_
_atom_site_label
_atom_site_fract_x
_atom_site_fract_y
_atom_site_fract_z
Se1 0.745 0.747 0.996
Se2 0.749 0.746 0.497
Se3 0.749 0.253 0.498
Se4 0.251 0.747 0.996
Se5 0.255 0.253 0.004
Se6 0.251 0.747 0.502
Se7 0.251 0.254 0.503
Se8 0.749 0.253 0.004
Pm1 0.000 0.000 0.500
Pm2 0.500 0.000 0.000
Pm3 0.000 0.000 0.000
Pm4 0.500 0.000 0.500
Nd1 0.000 0.500 0.000
Ca1 0.500 0.500 0.500
Ca2 0.000 0.500 0.500
Ca3 0.500 0.500 0.000
# * E: -5.49 eV per atom
# * SG: R-3m, No. 166
# * raw formation energy: -1.886 eV/atom

# GGA-PBE Ca3Pm3NdSe8, optimized geometry
data_Ca3Pm3NdSe8
_chemical_formula_sum 'Ca3 Pm3 Nd1 Se8'
_cell_length_a 8.378
_cell_length_b 8.378
_cell_length_c 8.425
_cell_angle_alpha 119.81
_cell_angle_beta 90.00
_cell_angle_gamma 120.00
_symmetry_space_group_name_H-M 'P 1'
_symmetry_Int_Tables_number 1
loop_
_symmetry_equiv_pos_as_xyz
'x,y,z'
loop_
_atom_site_label
_atom_site_fract_x
_atom_site_fract_y
_atom_site_fract_z
Se1 0.749 0.999 0.749
Se2 0.251 0.502 0.751
Se3 0.749 0.001 0.251
Se4 0.251 0.999 0.749
Se5 0.251 0.001 0.251
Se6 0.249 0.498 0.247
Se7 0.749 0.498 0.249
Se8 0.751 0.502 0.753
Pm1 0.500 0.000 0.500
Pm2 0.000 0.500 0.500
Pm3 0.500 0.500 0.500
Ca1 0.500 0.500 0.000
Ca2 0.000 0.000 0.000
Ca3 0.000 0.500 0.000
Nd1 0.000 0.000 0.500
# * E: -5.45 eV per atom
# * SG: R-3m, No. 166
# * raw formation energy: -1.920 eV/atom

# GGA-PBE CaPmNdSm, optimized geometry
data_CaPmNdSm
_chemical_formula_sum 'Ca1 Pm1 Nd1 Sm1'
_cell_length_a 5.871
_cell_length_b 5.871
_cell_length_c 5.871
_cell_angle_alpha 60.00
_cell_angle_beta 60.00
_cell_angle_gamma 60.00
_symmetry_space_group_name_H-M 'P 1'
_symmetry_Int_Tables_number 1
loop_
_symmetry_equiv_pos_as_xyz
'x,y,z'
loop_
_atom_site_label
_atom_site_fract_x
_atom_site_fract_y
_atom_site_fract_z
Nd1 0.500 0.500 0.500
Ca1 0.250 0.250 0.250
Sm1 0.000 0.000 0.000
Pm1 0.750 0.750 0.750
# * E: -3.92 eV per atom
# * energy above the most stable polymorph in this dataset: 93 meV per atom
# * SG: F-43m, No. 216
# * energy of formation: 0.137 eV/atom

# GGA-PBE CaPm2Nd6Sm3, optimized geometry
data_CaPm2Nd6Sm3
_chemical_formula_sum 'Ca1 Pm2 Nd6 Sm3'
_cell_length_a 6.378
_cell_length_b 6.378
_cell_length_c 12.135
_cell_angle_alpha 95.01
_cell_angle_beta 95.01
_cell_angle_gamma 120.03
_symmetry_space_group_name_H-M 'P 1'
_symmetry_Int_Tables_number 1
loop_
_symmetry_equiv_pos_as_xyz
'x,y,z'
loop_
_atom_site_label
_atom_site_fract_x
_atom_site_fract_y
_atom_site_fract_z
Ca1 0.000 0.000 0.000
Nd1 0.576 0.915 0.747
Nd2 0.085 0.424 0.253
Nd3 0.424 0.085 0.253
Nd4 0.746 0.746 0.254
Nd5 0.254 0.254 0.746
Nd6 0.915 0.576 0.747
Sm1 0.500 0.500 0.500
Sm2 0.166 0.834 0.500
Sm3 0.834 0.166 0.500
Pm1 0.667 0.333 0.000
Pm2 0.333 0.667 0.000
# * E: -4.49 eV per atom
# * SG: C2/m, No. 12
# * energy of formation: 0.028 eV/atom

# GGA-PBE CaPmNdSm, optimized geometry
data_CaPmNdSm
_chemical_formula_sum 'Ca1 Pm1 Nd1 Sm1'
_cell_length_a 3.688
_cell_length_b 3.688
_cell_length_c 10.574
_cell_angle_alpha 90.00
_cell_angle_beta 90.00
_cell_angle_gamma 90.00
_symmetry_space_group_name_H-M 'P 1'
_symmetry_Int_Tables_number 1
loop_
_symmetry_equiv_pos_as_xyz
'x,y,z'
loop_
_atom_site_label
_atom_site_fract_x
_atom_site_fract_y
_atom_site_fract_z
Nd1 0.000 0.000 0.556
Pm1 0.000 0.000 0.087
Sm1 0.500 0.500 0.320
Ca1 0.500 0.500 0.822
# * E: -4.02 eV per atom
# * energy above the most stable polymorph in this dataset: 0 meV per atom
# * SG: P4mm, No. 99
# * energy of formation: 0.044 eV/atom

# GGA-PBE CaPm2Nd3Sm6, optimized geometry
data_CaPm2Nd3Sm6
_chemical_formula_sum 'Ca1 Pm2 Nd3 Sm6'
_cell_length_a 6.350
_cell_length_b 6.350
_cell_length_c 12.128
_cell_angle_alpha 95.01
_cell_angle_beta 95.01
_cell_angle_gamma 120.03
_symmetry_space_group_name_H-M 'P 1'
_symmetry_Int_Tables_number 1
loop_
_symmetry_equiv_pos_as_xyz
'x,y,z'
loop_
_atom_site_label
_atom_site_fract_x
_atom_site_fract_y
_atom_site_fract_z
Nd1 0.500 0.500 0.500
Nd2 0.166 0.834 0.500
Nd3 0.834 0.166 0.500
Sm1 0.916 0.577 0.749
Sm2 0.084 0.423 0.251
Sm3 0.746 0.746 0.252
Sm4 0.423 0.084 0.251
Sm5 0.254 0.254 0.748
Sm6 0.577 0.916 0.749
Pm1 0.333 0.667 0.000
Pm2 0.667 0.333 0.000
Ca1 0.000 0.000 0.000
# * E: -4.47 eV per atom
# * SG: C2/m, No. 12
# * energy of formation: 0.036 eV/atom